Entry from Alexandria via LeMat-Bulk: an optimized crystal structure of Zr2V2Ru (PBE-GGA).

Results
For the energy, the calculation gives -8.945 eV per atom.

Geometry as CIF:
```
data_Zr2V2Ru
_space_group_name_H-M_alt 'P 4/m b m'
_space_group_IT_number 127
_space_group_name_Hall '-P 4 2ab'
_cell_length_a 6.308
_cell_length_b 6.308
_cell_length_c 4.482
_cell_angle_alpha 90.00
_cell_angle_beta 90.00
_cell_angle_gamma 90.00
loop_
_atom_site_label
_atom_site_fract_x
_atom_site_fract_y
_atom_site_fract_z
Zr1 0.171 0.329 0.000
V1 0.141 0.641 0.500
Ru1 0.000 0.000 0.500
```